A relaxed structure of BaTe4Os, computed with GGA-PBE.

Values from the calculation:
- symmetry = F-43m, No. 216
- total magnetization (μB/atom) = 0.63
- crystal system = cubic
- formation energy (no corrections) (eV per atom) = 0.666
- DOS(E_F) (states/eV/f.u.) = 6.83
- calculated density (g/cm3) = 7.4

Cell and atoms, written as POSCAR:
```
BaTe4Os
1.0
0.000 4.548 4.548
4.548 0.000 4.548
4.548 4.548 0.000
Ba Te Os
1 4 1
Cartesian
0.000 0.000 0.000 Ba
3.423 3.423 3.423 Te
5.674 5.674 3.423 Te
5.674 3.423 5.674 Te
3.423 5.674 5.674 Te
6.823 6.823 6.823 Os
```

A relaxed structure of BaTeOs2, computed with GGA-PBE.

Values from the calculation:
- symmetry = I-4m2, No. 119
- total magnetization (μB/atom) = 0.52
- crystal system = tetragonal
- formation energy (no corrections) (eV per atom) = 1.358
- DOS(E_F) (states/eV/f.u.) = 6.38
- calculated density (g/cm3) = 12.0

Cell and atoms, written as POSCAR:
```
BaTeOs2
1.0
-2.370 2.370 3.979
2.370 -2.370 3.979
2.370 2.370 -3.979
Ba Te Os
1 1 2
Cartesian
0.000 0.000 0.000 Ba
0.000 2.370 1.989 Te
2.370 0.000 1.989 Os
0.000 0.000 3.979 Os
```

Please write out number 1 again, unchanged.
A relaxed structure of BaTe4Os, computed with GGA-PBE.

Values from the calculation:
- symmetry = F-43m, No. 216
- total magnetization (μB/atom) = 0.63
- crystal system = cubic
- formation energy (no corrections) (eV per atom) = 0.666
- DOS(E_F) (states/eV/f.u.) = 6.83
- calculated density (g/cm3) = 7.4

Cell and atoms, written as POSCAR:
```
BaTe4Os
1.0
0.000 4.548 4.548
4.548 0.000 4.548
4.548 4.548 0.000
Ba Te Os
1 4 1
Cartesian
0.000 0.000 0.000 Ba
3.423 3.423 3.423 Te
5.674 5.674 3.423 Te
5.674 3.423 5.674 Te
3.423 5.674 5.674 Te
6.823 6.823 6.823 Os
```

> What is the DOS(E_F) in the second record?

6.38 states/eV/f.u.

> Among the records above, which one has the highest calculated density?

BaTeOs2

What did the second record say?
A relaxed structure of BaTeOs2, computed with GGA-PBE.

Values from the calculation:
- symmetry = I-4m2, No. 119
- total magnetization (μB/atom) = 0.52
- crystal system = tetragonal
- formation energy (no corrections) (eV per atom) = 1.358
- DOS(E_F) (states/eV/f.u.) = 6.38
- calculated density (g/cm3) = 12.0

Cell and atoms, written as POSCAR:
```
BaTeOs2
1.0
-2.370 2.370 3.979
2.370 -2.370 3.979
2.370 2.370 -3.979
Ba Te Os
1 1 2
Cartesian
0.000 0.000 0.000 Ba
0.000 2.370 1.989 Te
2.370 0.000 1.989 Os
0.000 0.000 3.979 Os
```